(1)
This record from Alexandria describes an optimized crystal structure of BeBi3Mo. The functional is PBE.

a b c (Å): 5.076 5.076 5.076
angles (deg): 90.00 90.00 90.00
Positions (direct):
1 Be 0.000 0.000 0.000
2 Bi 0.000 0.000 0.500
3 Bi 0.000 0.500 0.000
4 Bi 0.500 0.000 0.000
5 Mo 0.500 0.500 0.500

Computed properties:
Electronic total energy = -4.190 eV/atom
Energy relative to the elements = 5.3 eV/f.u.
Energy relative to the lowest polymorph listed for this composition = 0.000 eV per atom

---

(2)
This record from Alexandria describes an optimized crystal structure of TaTlMo2. The functional is PBE.

a b c (Å): 3.445 3.445 6.170
angles (deg): 90.00 90.00 90.00
Positions (direct):
1 Ta 0.000 0.000 0.000
2 Tl 0.000 0.000 0.500
3 Mo 0.500 0.500 0.216
4 Mo 0.500 0.500 0.784

Computed properties:
Electronic total energy = -8.630 eV/atom
Energy relative to the elements = 1.4 eV/f.u.
Energy relative to the lowest polymorph listed for this composition = 0.000 eV per atom

---

(3)
This record from Alexandria describes an optimized crystal structure of Y2Fe17. The functional is PBE.

a b c (Å): 6.402 6.402 6.402
angles (deg): 82.82 82.82 82.82
Positions (direct):
1 Y 0.160 0.160 0.160
2 Y 0.840 0.840 0.840
3 Fe 0.000 0.500 0.500
4 Fe 0.157 0.157 0.657
5 Fe 0.157 0.657 0.157
6 Fe 0.205 0.500 0.795
7 Fe 0.205 0.795 0.500
8 Fe 0.343 0.843 0.843
9 Fe 0.404 0.404 0.404
10 Fe 0.500 0.000 0.500
11 Fe 0.500 0.205 0.795
12 Fe 0.500 0.500 0.000
13 Fe 0.500 0.795 0.205
14 Fe 0.596 0.596 0.596
15 Fe 0.657 0.157 0.157
16 Fe 0.795 0.205 0.500
17 Fe 0.795 0.500 0.205
18 Fe 0.843 0.343 0.843
19 Fe 0.843 0.843 0.343

Computed properties:
Electronic total energy = -8.263 eV/atom
Energy relative to the elements = -0.2 eV/f.u.